Compound: LaWSe2
Source: the Alexandria database
Functional: PBE
Structure: optimized geometry

The raw total energy comes out at -92.1 eV for the cell shown. As for the distance to the lowest polymorph of the same formula: 1088 meV per atom. For the density of states at the Fermi level, the calculation gives 6.04 states/eV/f.u. The value obtained for the uncorrected formation energy is 0.46 eV per atom. As for the crystal system: cubic.

It has space group F-43m (No. 216), with a = 7.021 Å, b = 7.021 Å, c = 7.021 Å, α = 90.00°, β = 90.00° and γ = 90.00°. The inequivalent atoms are La at (0.000, 0.000, 0.000), W at (0.250, 0.250, 0.250), Se at (0.000, 0.000, 0.500) and Se at (0.250, 0.250, 0.750).